(1)
Entry from Alexandria via LeMat-Bulk: a relaxed Ca3TiN3 crystal (GGA-PBE).

a = 7.522 Å, b = 7.522 Å, c = 4.984 Å
α = 90.00°, β = 90.00°, γ = 120.00°
Site moments in Bohr magnetons follow the coordinates.
Element x y z (fractional)
Ti 0.667 0.333 0.750  0.10
Ca 0.091 0.348 0.750  0.01
N 0.726 0.115 0.750  0.00
Ca 0.652 0.743 0.750  0.01
Ti 0.333 0.667 0.250  0.10
Ca 0.348 0.257 0.250  0.01
N 0.115 0.389 0.250  0.00
N 0.611 0.726 0.250  0.00
Ca 0.257 0.909 0.750  0.01
Ca 0.909 0.652 0.250  0.01
N 0.389 0.274 0.750  0.00
N 0.274 0.885 0.250  0.00
Ca 0.743 0.091 0.250  0.01
N 0.885 0.611 0.750  0.00

The total energy is -6.5678 eV per atom. Its density is 2.857 g/cm3. For the spin magnetization, the calculation gives 0.44 μB per cell. For the energy above the most stable polymorph in this dataset, the calculation gives 0.000 eV/atom.

***

(2)
Entry from Alexandria via LeMat-Bulk: a relaxed CaTiN3 crystal (GGA-PBE).

a = 4.044 Å, b = 4.044 Å, c = 4.044 Å
α = 90.00°, β = 90.00°, γ = 90.00°
Element x y z (fractional)
N 0.000 0.500 0.000
N 0.500 0.000 0.000
Ca 0.000 0.000 0.000
Ti 0.500 0.500 0.500
N 0.000 0.000 0.500

The total energy is -5.2598 eV per atom. Its density is 3.263 g/cm3. For the spin magnetization, the calculation gives 0.00 μB per cell.

***

(3)
Entry from Alexandria via LeMat-Bulk: a relaxed Ca3Ti3N5 crystal (GGA-PBE).

a = 5.807 Å, b = 7.769 Å, c = 7.941 Å
α = 108.25°, β = 103.20°, γ = 104.40°
Element x y z (fractional)
N 0.232 0.496 0.094
Ti 0.886 0.121 0.300
N 0.561 0.985 0.324
Ti 0.114 0.879 0.700
Ca 0.344 0.172 0.127
N 0.725 0.729 0.549
Ca 0.250 0.559 0.417
Ca 0.750 0.441 0.583
Ti 0.725 0.989 0.589
N 0.275 0.271 0.451
N 0.200 0.685 0.789
Ti 0.115 0.689 0.016
N 0.800 0.315 0.211
Ca 0.656 0.828 0.873
N 0.439 0.015 0.676
N 0.005 0.098 0.840
N 0.995 0.902 0.160
Ca 0.700 0.665 0.225
Ti 0.885 0.311 0.984
Ti 0.275 0.011 0.411
Ca 0.300 0.335 0.775
N 0.768 0.504 0.906

The total energy is -7.7185 eV per atom. Its density is 3.568 g/cm3. For the spin magnetization, the calculation gives 0.00 μB per cell.

***

(4)
Entry from Alexandria via LeMat-Bulk: a relaxed CaTiN2 crystal (GGA-PBE).

a = 5.371 Å, b = 5.371 Å, c = 5.566 Å
α = 61.15°, β = 61.15°, γ = 90.00°
Element x y z (fractional)
Ti 0.750 0.250 0.500
N 0.875 0.947 0.750
Ca 0.500 0.500 0.000
N 0.697 0.125 0.250
Ca 0.250 0.750 0.500
N 0.053 0.625 0.250
Ti 0.000 0.000 0.000
N 0.375 0.303 0.750

The total energy is -7.9735 eV per atom. Its density is 3.282 g/cm3. For the spin magnetization, the calculation gives 0.00 μB per cell.

***

(5)
Entry from Alexandria via LeMat-Bulk: a relaxed CaTiN2 crystal (GGA-PBE).

a = 3.116 Å, b = 3.116 Å, c = 5.907 Å
α = 74.71°, β = 74.71°, γ = 60.00°
Element x y z (fractional)
Ca 0.496 0.496 0.513
N 0.069 0.069 0.792
Ti 0.667 0.667 0.998
N 0.267 0.267 0.198

The total energy is -7.8711 eV per atom. Its density is 4.070 g/cm3. For the spin magnetization, the calculation gives 0.00 μB per cell.

***

(6)
Entry from Alexandria via LeMat-Bulk: a relaxed CaTi3N crystal (GGA-PBE).

a = 4.342 Å, b = 4.342 Å, c = 4.342 Å
α = 90.00°, β = 90.00°, γ = 90.00°
Element x y z (fractional)
N 0.000 0.000 0.000
Ti 0.000 0.000 0.500
Ti 0.500 0.000 0.000
Ca 0.500 0.500 0.500
Ti 0.000 0.500 0.000

The total energy is -7.0969 eV per atom. Its density is 4.010 g/cm3. For the spin magnetization, the calculation gives 0.00 μB per cell. For the energy above the most stable polymorph in this dataset, the calculation gives 0.000 eV/atom.

***

(7)
Entry from Alexandria via LeMat-Bulk: a relaxed Ca5Ti2N6 crystal (GGA-PBE).

a = 6.107 Å, b = 6.556 Å, c = 12.896 Å
α = 90.00°, β = 101.46°, γ = 122.47°
Element x y z (fractional)
Ca 0.057 0.773 0.007
Ca 0.313 0.304 0.226
N 0.900 0.940 0.624
N 0.285 0.643 0.643
Ca 0.943 0.227 0.993
N 0.579 0.173 0.586
Ti 0.549 0.864 0.568
N 0.421 0.594 0.914
N 0.100 0.040 0.876
N 0.900 0.960 0.124
Ca 0.687 0.991 0.274
N 0.100 0.060 0.376
Ca 0.313 0.009 0.726
N 0.715 0.358 0.857
Ca 0.000 0.657 0.250
N 0.285 0.642 0.143
Ca 0.943 0.716 0.493
N 0.715 0.357 0.357
Ti 0.451 0.315 0.932
N 0.579 0.406 0.086
Ti 0.451 0.136 0.432
Ca 0.057 0.284 0.507
N 0.421 0.827 0.414
Ti 0.549 0.685 0.068
Ca 0.687 0.696 0.774
Ca 0.000 0.343 0.750

The total energy is -6.9980 eV per atom. Its density is 2.982 g/cm3. For the spin magnetization, the calculation gives 0.00 μB per cell. For the energy above the most stable polymorph in this dataset, the calculation gives 0.000 eV/atom.

***

(8)
Entry from Alexandria via LeMat-Bulk: a relaxed CaTiN2 crystal (GGA-PBE).

a = 5.002 Å, b = 10.078 Å, c = 17.122 Å
α = 90.00°, β = 90.00°, γ = 90.00°
Element x y z (fractional)
N 0.326 0.501 0.702
N 0.168 0.256 0.048
N 0.832 0.744 0.952
Ti 0.211 0.727 0.938
N 0.233 0.290 0.828
Ca 0.259 0.497 0.063
Ti 0.711 0.773 0.062
Ca 0.252 0.247 0.687
N 0.254 0.959 0.423
N 0.754 0.541 0.577
N 0.233 0.210 0.328
N 0.267 0.790 0.828
N 0.332 0.756 0.048
N 0.767 0.710 0.172
N 0.674 0.499 0.298
N 0.668 0.256 0.452
N 0.326 0.999 0.202
Ca 0.241 0.503 0.563
Ca 0.741 0.997 0.437
Ti 0.299 0.523 0.313
Ca 0.752 0.253 0.313
N 0.267 0.710 0.328
Ti 0.201 0.023 0.313
Ti 0.201 0.477 0.813
N 0.754 0.959 0.077
N 0.168 0.244 0.548
Ca 0.748 0.747 0.813
Ti 0.799 0.977 0.687
Ca 0.741 0.503 0.937
Ca 0.759 0.003 0.937
Ti 0.211 0.773 0.438
N 0.254 0.541 0.923
N 0.733 0.210 0.172
Ti 0.289 0.273 0.438
Ti 0.701 0.477 0.687
N 0.246 0.459 0.423
Ti 0.289 0.227 0.938
Ca 0.248 0.753 0.187
Ca 0.259 0.003 0.563
Ti 0.299 0.977 0.813
Ca 0.248 0.747 0.687
Ti 0.711 0.727 0.562
N 0.733 0.290 0.672
Ti 0.789 0.227 0.562
N 0.746 0.459 0.077
Ca 0.241 0.997 0.063
N 0.826 0.999 0.298
Ti 0.701 0.023 0.187
N 0.746 0.041 0.577
N 0.674 0.001 0.798
Ca 0.759 0.497 0.437
N 0.767 0.790 0.672
Ti 0.789 0.273 0.062
N 0.174 0.001 0.702
Ca 0.752 0.247 0.813
N 0.332 0.744 0.548
N 0.826 0.501 0.798
N 0.174 0.499 0.202
Ti 0.799 0.523 0.187
N 0.832 0.756 0.452
N 0.668 0.244 0.952
N 0.246 0.041 0.923
Ca 0.748 0.753 0.313
Ca 0.252 0.253 0.187

The total energy is -7.9987 eV per atom. Its density is 3.569 g/cm3. For the spin magnetization, the calculation gives 0.00 μB per cell.

***

Calculated volume (computed, A^3/atom): 17.4 13.2 14.1 14.7 11.8 16.4 16.3 13.5